NaFeAsCO7: relaxed, PBE with a Hubbard U.

Geometry as extended XYZ:
```
22
Lattice="6.652 0.000 0.000 0.000 5.353 -0.026 0.000 0.386 9.429" Properties=species:S:1:pos:R:3 pbc="T T T"
Na 3.502 4.392 7.190
Na 0.175 1.346 2.213
Fe 1.591 1.330 6.082
Fe 4.917 4.409 3.321
As 4.976 1.759 5.376
As 1.650 3.980 4.027
C 1.671 1.831 8.601
C 4.997 3.908 0.802
O 4.895 4.061 9.000
O 1.700 0.629 8.121
O 1.736 2.772 7.714
O 6.316 1.406 6.366
O 3.611 1.346 6.318
O 1.726 4.810 5.532
O 4.879 3.457 5.022
O 1.553 2.282 4.381
O 5.052 0.928 3.871
O 0.285 4.393 3.085
O 2.989 4.333 3.037
O 5.063 2.966 1.689
O 5.026 5.110 1.282
O 1.569 1.678 0.403
```

Calculated values
* uncorrected energy: -6.37 eV per atom